Crystalline TmSn2Bi at its relaxed geometry. Source: the Alexandria database, functional GGA-PBE.

Properties
The volume comes out at 169.90 Å³/f.u. The value obtained for the total energy is -3.74 eV per atom. As for the total magnetization: 0.0 μB per formula unit. For the energy above the lowest structure with this stoichiometry, the calculation gives 0.651 eV per atom. As for the formation energy: 7.951 kcal/mol of atoms.

Unit cell a=5.0011 b=5.0011 c=23.5313 alpha=90.00 beta=90.00 gamma=120.00
With the nearest neighbours (Å) after each atom.
Space group R-3m (No. 166, hexagonal axes)
Unique sites:
Tm: 0.0000 0.0000 0.0000  6 Sn 3.07
Sn: 0.0000 0.0000 0.3776  1 Bi 2.88, 3 Tm 3.07
Bi: 0.0000 0.0000 0.5000  2 Sn 2.88